Entry 1:
Rb2TlCdI6 after structural relaxation. Source: the Alexandria database, functional PBE.

```
data_Rb2TlCdI6
_chemical_formula_sum 'Rb4 Tl2 Cd2 I12'
_cell_length_a 8.661
_cell_length_b 8.661
_cell_length_c 12.280
_cell_angle_alpha 90.00
_cell_angle_beta 90.00
_cell_angle_gamma 90.00
_symmetry_space_group_name_H-M 'I 4/m m m'
_symmetry_Int_Tables_number 139
_symmetry_space_group_name_Hall '-I 4 2'
loop_
_atom_site_label
_atom_site_fract_x
_atom_site_fract_y
_atom_site_fract_z
_atom_site_occupancy
Rb1 0.000 0.500 0.250 1
Tl1 0.000 0.000 0.000 1
Cd1 0.000 0.000 0.500 1
I1 0.000 0.000 0.257 1
I2 0.243 0.243 0.500 1
```

Results
D(E_F)   4.88 states/eV/cell
Polymorph energy (0 for the lowest one)   24.6 meV per atom
Formation energy (no corrections)   -0.834 eV per atom
Magnetization   0.000 μB per atom


Entry 2:
TbNdSc2 after structural relaxation. Source: the Alexandria database, functional PBE.

```
data_TbNdSc2
_chemical_formula_sum 'Tb2 Nd2 Sc4'
_cell_length_a 4.982
_cell_length_b 4.982
_cell_length_c 9.257
_cell_angle_alpha 90.00
_cell_angle_beta 90.00
_cell_angle_gamma 90.00
_symmetry_space_group_name_H-M 'I 4/m m m'
_symmetry_Int_Tables_number 139
_symmetry_space_group_name_Hall '-I 4 2'
loop_
_atom_site_label
_atom_site_fract_x
_atom_site_fract_y
_atom_site_fract_z
_atom_site_occupancy
Tb1 0.000 0.000 0.000 1
Nd1 0.000 0.000 0.500 1
Sc1 0.000 0.500 0.250 1
```

Results
D(E_F)   12.95 states/eV/cell
Polymorph energy (0 for the lowest one)   0.0 meV per atom
Magnetization   0.000 μB per atom
Calculated formation energy   0.214 eV per formula unit


Entry 3:
SrIn2GaHg after structural relaxation. Source: the Alexandria database, functional PBE.

```
data_SrIn2GaHg
_chemical_formula_sum 'Sr1 In2 Ga1 Hg1'
_cell_length_a 5.451
_cell_length_b 5.451
_cell_length_c 6.156
_cell_angle_alpha 90.00
_cell_angle_beta 90.00
_cell_angle_gamma 90.00
_symmetry_space_group_name_H-M 'P 4/m m m'
_symmetry_Int_Tables_number 123
_symmetry_space_group_name_Hall '-P 4 2'
loop_
_atom_site_label
_atom_site_fract_x
_atom_site_fract_y
_atom_site_fract_z
_atom_site_occupancy
Sr1 0.000 0.000 0.000 1
In1 0.000 0.500 0.500 1
Ga1 0.500 0.500 0.000 1
Hg1 0.000 0.000 0.500 1
```

Results
D(E_F)   5.66 states/eV/cell
Magnetization   0.000 μB per atom
Calculated formation energy   1.060 eV per formula unit


Entry 4:
Ca2LaCd2 after structural relaxation. Source: the Alexandria database, functional PBE.

```
data_Ca2LaCd2
_chemical_formula_sum 'Ca4 La2 Cd4'
_cell_length_a 5.931
_cell_length_b 3.780
_cell_length_c 14.519
_cell_angle_alpha 90.00
_cell_angle_beta 94.80
_cell_angle_gamma 90.00
_symmetry_space_group_name_H-M 'P 1 21/m 1'
_symmetry_Int_Tables_number 11
loop_
_symmetry_equiv_pos_as_xyz
'x,y,z'
'-x,-y,-z'
'-x,y+1/2,-z'
'x,-y+1/2,z'
loop_
_atom_site_label
_atom_site_fract_x
_atom_site_fract_y
_atom_site_fract_z
_atom_site_occupancy
Ca1 0.168 0.250 0.116 1
Ca2 0.254 0.750 0.523 1
La1 0.304 0.250 0.750 1
Cd1 0.220 0.250 0.338 1
Cd2 0.343 0.750 0.945 1
```

Results
D(E_F)   10.17 states/eV/cell
Polymorph energy (0 for the lowest one)   91.8 meV per atom
Magnetization   0.000 μB per atom
Calculated formation energy   -0.797 eV per formula unit